Entry from Alexandria via LeMat-Bulk: crystalline Ho2CdWO8 at its relaxed geometry (PBE with a Hubbard U).

```
Ho2CdWO8
1.0
3.5864 -3.4617 0.0000
3.5864 3.4617 0.0000
-0.0133 0.0000 6.9841
Ho Cd W O
2 1 1 8
Direct
0.0008 0.0008 0.2507
0.9992 0.9992 0.7493
0.5000 0.5000 0.5000
0.5000 0.5000 0.0000
0.1948 0.8052 0.5000
0.2178 0.7822 0.0000
0.3116 0.3116 0.7990
0.3134 0.3134 0.2025
0.6866 0.6866 0.7975
0.6884 0.6884 0.2010
0.7822 0.2178 0.0000
0.8052 0.1948 0.5000
```

Summary:
Crystal system: monoclinic
Density of states at the Fermi level (states/eV per cell): 9.74
Space-group type: C2/m, No. 12
Calculated total energy (eV per atom): -6.94